w:
Below is a relaxed LiTc2Mo crystal, with properties calculated at the PBE level.

Structure (CIF):
```
data_LiTc2Mo
_chemical_formula_sum 'Li1 Tc2 Mo1'
_space_group_name_H-M_alt 'P 1'
_space_group_IT_number 1
_cell_length_a 2.596
_cell_length_b 4.192
_cell_length_c 5.327
_cell_angle_alpha 90.00
_cell_angle_beta 90.00
_cell_angle_gamma 90.00
loop_
_space_group_symop_operation_xyz
'x,y,z'
loop_
_atom_site_label
_atom_site_type_symbol
_atom_site_fract_x
_atom_site_fract_y
_atom_site_fract_z
Li1 Li 0.000 0.000 0.000
Tc1 Tc 0.500 0.500 0.231
Tc2 Tc 0.500 0.500 0.769
Mo1 Mo 0.000 0.000 0.500
```

x:
Below is a relaxed LiTc2Mo crystal, with properties calculated at the PBE level.

Structure (CIF):
```
data_LiTc2Mo
_chemical_formula_sum 'Li1 Tc2 Mo1'
_space_group_name_H-M_alt 'P 1'
_space_group_IT_number 1
_cell_length_a 4.637
_cell_length_b 4.637
_cell_length_c 4.961
_cell_angle_alpha 92.71
_cell_angle_beta 92.71
_cell_angle_gamma 33.02
loop_
_space_group_symop_operation_xyz
'x,y,z'
loop_
_atom_site_label
_atom_site_type_symbol
_atom_site_fract_x
_atom_site_fract_y
_atom_site_fract_z
Li1 Li 0.000 0.000 0.000
Tc1 Tc 0.252 0.252 0.756
Tc2 Tc 0.502 0.502 0.506
Mo1 Mo 0.749 0.749 0.243
```

Stability verdict: w, ahead by 28 meV per atom

w:
Below is a relaxed LiTc2Mo crystal, with properties calculated at the PBE level.

Structure (CIF):
```
data_LiTc2Mo
_chemical_formula_sum 'Li1 Tc2 Mo1'
_space_group_name_H-M_alt 'P 1'
_space_group_IT_number 1
_cell_length_a 9.473
_cell_length_b 9.473
_cell_length_c 9.473
_cell_angle_alpha 16.65
_cell_angle_beta 16.65
_cell_angle_gamma 16.65
loop_
_space_group_symop_operation_xyz
'x,y,z'
loop_
_atom_site_label
_atom_site_type_symbol
_atom_site_fract_x
_atom_site_fract_y
_atom_site_fract_z
Li1 Li 0.000 0.000 0.000
Tc1 Tc 0.494 0.494 0.494
Tc2 Tc 0.752 0.752 0.752
Mo1 Mo 0.244 0.244 0.244
```

x:
Below is a relaxed LiTc2Mo crystal, with properties calculated at the PBE level.

Structure (CIF):
```
data_LiTc2Mo
_chemical_formula_sum 'Li1 Tc2 Mo1'
_space_group_name_H-M_alt 'P 1'
_space_group_IT_number 1
_cell_length_a 2.658
_cell_length_b 4.161
_cell_length_c 5.190
_cell_angle_alpha 90.00
_cell_angle_beta 90.00
_cell_angle_gamma 90.00
loop_
_space_group_symop_operation_xyz
'x,y,z'
loop_
_atom_site_label
_atom_site_type_symbol
_atom_site_fract_x
_atom_site_fract_y
_atom_site_fract_z
Li1 Li 0.000 0.000 0.000
Tc1 Tc 0.000 0.000 0.509
Tc2 Tc 0.500 0.500 0.750
Mo1 Mo 0.500 0.500 0.243
```

Stability verdict: w, ahead by 35 meV per atom